1.
{
  "formula": "LiDy",
  "functional": "PBE-GGA",
  "state": "relaxed",
  "e_tot_ev_per_cell": -15.80,
  "space_group": "No. 216",
  "polymorph_energy_ev_per_atom": 1.1213,
  "lattice": [[6.399, 0.000, 0.000], [0.000, 6.399, 0.000], [0.000, 0.000, 6.399]],
  "species": ["Li", "Li", "Li", "Li", "Dy", "Dy", "Dy", "Dy"],
  "frac_coords": [[0.000, 0.000, 0.000], [0.000, 0.500, 0.500], [0.500, 0.000, 0.500], [0.500, 0.500, 0.000], [0.250, 0.250, 0.250], [0.250, 0.750, 0.750], [0.750, 0.250, 0.750], [0.750, 0.750, 0.250]]
}

=====

2.
{
  "formula": "LiDy5",
  "functional": "PBE-GGA",
  "state": "relaxed",
  "e_tot_ev_per_cell": -21.89,
  "space_group": "No. 191",
  "lattice": [[6.511, 0.000, 0.000], [-3.255, 5.639, 0.000], [0.000, 0.000, 5.735]],
  "species": ["Li", "Dy", "Dy", "Dy", "Dy", "Dy"],
  "frac_coords": [[0.000, 0.000, 0.000], [0.000, 0.500, 0.500], [0.333, 0.667, 0.000], [0.500, 0.000, 0.500], [0.500, 0.500, 0.500], [0.667, 0.333, 0.000]]
}

=====

3.
{
  "formula": "LiDy",
  "functional": "PBE-GGA",
  "state": "relaxed",
  "e_tot_ev_per_cell": -6.13,
  "space_group": "No. 187",
  "polymorph_energy_ev_per_atom": 0.0317,
  "lattice": [[3.343, 0.000, 0.000], [-1.672, 2.895, 0.000], [0.000, 0.000, 5.413]],
  "species": ["Li", "Dy"],
  "frac_coords": [[0.000, 0.000, 0.000], [0.333, 0.667, 0.500]]
}

=====

4.
{
  "formula": "LiDy2",
  "functional": "PBE-GGA",
  "state": "relaxed",
  "e_tot_ev_per_cell": -10.63,
  "space_group": "No. 227",
  "polymorph_energy_ev_per_atom": 1.4788,
  "lattice": [[0.000, 5.885, 5.885], [5.885, 0.000, 5.885], [5.885, 5.885, 0.000]],
  "species": ["Li", "Li", "Dy", "Dy", "Dy", "Dy"],
  "frac_coords": [[0.125, 0.125, 0.125], [0.875, 0.875, 0.875], [0.000, 0.000, 0.000], [0.000, 0.000, 0.500], [0.000, 0.500, 0.000], [0.500, 0.000, 0.000]]
}

=====

5.
{
  "formula": "LiDyMg2",
  "functional": "PBE-GGA",
  "state": "relaxed",
  "e_tot_ev_per_cell": -9.50,
  "space_group": "No. 25",
  "lattice": [[3.458, 0.000, 0.000], [0.000, 5.394, 0.000], [0.000, 0.000, 5.394]],
  "species": ["Li", "Dy", "Mg", "Mg"],
  "frac_coords": [[0.000, 0.000, 0.000], [0.000, 0.500, 0.495], [0.500, 0.000, 0.501], [0.500, 0.500, 0.995]]
}

=====

6.
{
  "formula": "LiDyMo",
  "functional": "PBE-GGA",
  "state": "relaxed",
  "e_tot_ev_per_cell": -56.78,
  "space_group": "No. 216",
  "polymorph_energy_ev_per_atom": 0.0000,
  "lattice": [[6.258, 0.000, 0.000], [0.000, 6.258, 0.000], [0.000, 0.000, 6.258]],
  "species": ["Li", "Li", "Li", "Li", "Dy", "Dy", "Dy", "Dy", "Mo", "Mo", "Mo", "Mo"],
  "frac_coords": [[0.000, 0.000, 0.000], [0.000, 0.500, 0.500], [0.500, 0.000, 0.500], [0.500, 0.500, 0.000], [0.250, 0.250, 0.750], [0.250, 0.750, 0.250], [0.750, 0.250, 0.250], [0.750, 0.750, 0.750], [0.250, 0.250, 0.250], [0.250, 0.750, 0.750], [0.750, 0.250, 0.750], [0.750, 0.750, 0.250]]
}

=====

7.
{
  "formula": "NaLiDy",
  "functional": "PBE-GGA",
  "state": "relaxed",
  "e_tot_ev_per_cell": -23.94,
  "space_group": "No. 216",
  "polymorph_energy_ev_per_atom": 0.0000,
  "lattice": [[7.156, 0.000, 0.000], [0.000, 7.156, 0.000], [0.000, 0.000, 7.156]],
  "species": ["Na", "Na", "Na", "Na", "Li", "Li", "Li", "Li", "Dy", "Dy", "Dy", "Dy"],
  "frac_coords": [[0.000, 0.000, 0.000], [0.000, 0.500, 0.500], [0.500, 0.000, 0.500], [0.500, 0.500, 0.000], [0.250, 0.250, 0.750], [0.250, 0.750, 0.250], [0.750, 0.250, 0.250], [0.750, 0.750, 0.750], [0.000, 0.000, 0.500], [0.000, 0.500, 0.000], [0.500, 0.000, 0.000], [0.500, 0.500, 0.500]]
}

=====

8.
{
  "formula": "LiDyNb",
  "functional": "PBE-GGA",
  "state": "relaxed",
  "e_tot_ev_per_cell": -51.69,
  "space_group": "No. 216",
  "lattice": [[6.762, 0.000, 0.000], [0.000, 6.762, 0.000], [0.000, 0.000, 6.762]],
  "species": ["Li", "Li", "Li", "Li", "Dy", "Dy", "Dy", "Dy", "Nb", "Nb", "Nb", "Nb"],
  "frac_coords": [[0.000, 0.000, 0.000], [0.000, 0.500, 0.500], [0.500, 0.000, 0.500], [0.500, 0.500, 0.000], [0.000, 0.000, 0.500], [0.000, 0.500, 0.000], [0.500, 0.000, 0.000], [0.500, 0.500, 0.500], [0.250, 0.250, 0.250], [0.250, 0.750, 0.750], [0.750, 0.250, 0.750], [0.750, 0.750, 0.250]]
}